(1)
A plane-wave DFT calculation with PBE was carried out for an optimized crystal structure of Pm5TmSc2.

Cell and atoms, written as POSCAR:
```
Pm5TmSc2
1.0
-5.403 -7.771 -2.535
5.418 -3.478 -0.885
-1.763 4.276 9.587
Pm Tm Sc
10 2 4
Direct
0.310 0.947 0.812
0.499 0.553 0.188
0.690 0.053 0.188
0.710 0.115 0.597
0.113 0.385 0.403
0.061 0.250 0.000
0.887 0.615 0.597
0.939 0.750 0.000
0.290 0.885 0.403
0.501 0.447 0.812
0.500 0.500 0.500
0.000 0.000 0.500
0.823 0.515 0.157
0.667 0.985 0.843
0.333 0.015 0.157
0.177 0.485 0.843
```

Properties
- magnetic moment (μB/cell) = 0.0
- formation energy (meV per atom) = 133
- final energy (eV/f.u.) = -39.8


(2)
A plane-wave DFT calculation with PBE was carried out for an optimized crystal structure of PmTm2Sc2.

Cell and atoms, written as POSCAR:
```
PmTm2Sc2
1.0
4.958 -0.284 1.519
-0.126 3.439 1.056
2.420 0.798 9.969
Sc Pm Tm
2 1 2
Direct
0.500 0.000 0.500
0.000 0.500 0.500
0.000 0.000 0.000
0.307 0.307 0.194
0.693 0.693 0.806
```

Properties
- magnetic moment (μB/cell) = 0.0
- formation energy (meV per atom) = 271
- final energy (eV/f.u.) = -25.0


(3)
A plane-wave DFT calculation with PBE was carried out for an optimized crystal structure of Pm4Tm7Sc.

Cell and atoms, written as POSCAR:
```
Pm4Tm7Sc
1.0
5.686 1.454 0.600
3.844 7.751 2.756
-1.501 -0.013 9.786
Tm Pm Sc
7 4 1
Direct
0.293 0.459 0.081
0.448 0.283 0.434
0.064 0.184 0.633
0.500 0.000 0.000
0.707 0.541 0.919
0.552 0.717 0.566
0.936 0.816 0.367
0.642 0.587 0.270
0.914 0.857 0.730
0.086 0.143 0.270
0.358 0.413 0.730
0.000 0.000 0.000
```

Properties
- magnetic moment (μB/cell) = 0.0
- formation energy (meV per atom) = 152
- final energy (eV/f.u.) = -54.8


(4)
A plane-wave DFT calculation with PBE was carried out for an optimized crystal structure of PmTmSc4.

Cell and atoms, written as POSCAR:
```
PmTmSc4
1.0
-5.782 -1.939 0.693
6.642 -5.625 2.548
-0.140 2.590 6.082
Sc Tm Pm
8 2 2
Direct
0.262 0.141 0.750
0.213 0.812 0.003
0.251 0.482 0.750
0.787 0.188 0.997
0.787 0.188 0.503
0.213 0.812 0.497
0.738 0.859 0.250
0.749 0.518 0.250
0.783 0.504 0.750
0.217 0.496 0.250
0.704 0.848 0.750
0.296 0.152 0.250
```

Properties
- magnetic moment (μB/cell) = 0.0
- formation energy (meV per atom) = 137
- final energy (eV/f.u.) = -33.7


(5)
A plane-wave DFT calculation with PBE was carried out for an optimized crystal structure of PmTm4Sc4.

Cell and atoms, written as POSCAR:
```
PmTm4Sc4
1.0
4.822 0.000 0.000
2.411 7.220 0.000
2.411 0.000 7.220
Pm Sc Tm
1 4 4
Direct
0.000 0.000 0.000
0.000 0.340 0.660
0.660 0.340 0.340
0.340 0.660 0.660
0.000 0.660 0.340
0.331 0.000 0.338
0.669 0.000 0.662
0.331 0.338 0.000
0.669 0.662 0.000
```

Properties
- magnetic moment (μB/cell) = 0.0
- formation energy (meV per atom) = 53
- final energy (eV/f.u.) = -47.5


(6)
A plane-wave DFT calculation with PBE was carried out for an optimized crystal structure of PmTm4Sc.

Cell and atoms, written as POSCAR:
```
PmTm4Sc
1.0
5.438 1.663 -1.274
3.520 4.467 -1.274
-2.424 -1.659 10.759
Tm Sc Pm
4 1 1
Direct
0.156 0.156 0.350
0.347 0.347 0.164
0.653 0.653 0.836
0.844 0.844 0.650
0.500 0.500 0.500
0.000 0.000 0.000
```

Properties
- magnetic moment (μB/cell) = 0.0
- formation energy (meV per atom) = 201
- final energy (eV/f.u.) = -27.8


(7)
A plane-wave DFT calculation with PBE was carried out for an optimized crystal structure of Pm3Tm3Sc.

Cell and atoms, written as POSCAR:
```
Pm3Tm3Sc
1.0
5.849 0.000 1.880
2.623 5.228 1.880
-1.374 -0.848 14.316
Pm Tm Sc
6 6 2
Direct
0.201 0.870 0.390
0.460 0.799 0.610
0.540 0.201 0.390
0.130 0.460 0.610
0.799 0.130 0.610
0.870 0.540 0.390
0.273 0.604 0.185
0.062 0.727 0.815
0.604 0.938 0.185
0.727 0.396 0.815
0.938 0.273 0.185
0.396 0.062 0.815
0.333 0.333 0.000
0.667 0.667 0.000
```

Properties
- magnetic moment (μB/cell) = 0.0
- formation energy (meV per atom) = 186
- final energy (eV/f.u.) = -32.7


(8)
A plane-wave DFT calculation with PBE was carried out for an optimized crystal structure of PmTm3Sc7.

Cell and atoms, written as POSCAR:
```
PmTm3Sc7
1.0
5.411 -0.195 -0.249
-2.397 7.511 1.122
-2.397 -0.732 7.559
Tm Sc Pm
3 7 1
Direct
0.500 0.000 0.000
0.000 0.792 0.208
0.000 0.208 0.792
0.792 0.793 0.793
0.208 0.207 0.207
0.717 0.026 0.407
0.283 0.974 0.593
0.000 0.500 0.500
0.283 0.593 0.974
0.717 0.407 0.026
0.500 0.500 0.500
```

Properties
- magnetic moment (μB/cell) = 0.0
- formation energy (meV per atom) = 287
- final energy (eV/f.u.) = -59.3


(9)
A plane-wave DFT calculation with PBE was carried out for an optimized crystal structure of Pm5Tm12Sc2.

Cell and atoms, written as POSCAR:
```
Pm5Tm12Sc2
1.0
7.151 0.000 0.000
-3.575 8.514 3.356
0.000 0.081 9.797
Tm Pm Sc
12 5 2
Direct
0.087 0.679 0.506
0.090 0.685 0.864
0.015 0.030 0.785
0.985 0.970 0.215
0.406 0.315 0.136
0.913 0.321 0.494
0.499 0.999 0.315
0.501 0.001 0.685
0.592 0.679 0.506
0.408 0.321 0.494
0.594 0.685 0.864
0.910 0.315 0.136
0.000 0.000 0.500
0.683 0.365 0.794
0.317 0.635 0.206
0.190 0.380 0.804
0.810 0.620 0.196
0.302 0.000 0.000
0.698 0.000 0.000
```

Properties
- magnetic moment (μB/cell) = 0.0
- formation energy (meV per atom) = 177
- final energy (eV/f.u.) = -86.7


(10)
A plane-wave DFT calculation with PBE was carried out for an optimized crystal structure of PmTm9Sc2.

Cell and atoms, written as POSCAR:
```
PmTm9Sc2
1.0
-2.710 1.854 -1.014
-5.400 -9.196 -2.383
-0.764 4.351 9.995
Tm Sc Pm
9 2 1
Direct
0.500 0.819 0.639
0.000 0.500 0.000
0.500 0.181 0.819
0.000 0.000 0.500
0.500 0.639 0.819
0.500 0.181 0.361
0.500 0.819 0.181
0.500 0.361 0.181
0.000 0.500 0.500
0.000 0.333 0.667
0.000 0.667 0.333
0.000 0.000 0.000
```

Properties
- magnetic moment (μB/cell) = 0.0
- formation energy (meV per atom) = 36
- final energy (eV/f.u.) = -57.2


(11)
A plane-wave DFT calculation with PBE was carried out for an optimized crystal structure of Pm3TmSc3.

Cell and atoms, written as POSCAR:
```
Pm3TmSc3
1.0
7.787 0.873 3.385
2.545 7.411 3.385
1.088 0.873 8.420
Tm Pm Sc
2 6 6
Direct
0.655 0.655 0.655
0.345 0.345 0.345
0.715 0.565 0.072
0.565 0.072 0.715
0.285 0.435 0.928
0.072 0.715 0.565
0.435 0.928 0.285
0.928 0.285 0.435
0.171 0.938 0.723
0.938 0.723 0.171
0.277 0.829 0.062
0.723 0.171 0.938
0.062 0.277 0.829
0.829 0.062 0.277
```

Properties
- magnetic moment (μB/cell) = 0.0
- formation energy (meV per atom) = 183
- final energy (eV/f.u.) = -36.4


(12)
A plane-wave DFT calculation with PBE was carried out for an optimized crystal structure of Pm2Tm5Sc4.

Cell and atoms, written as POSCAR:
```
Pm2Tm5Sc4
1.0
-5.425 -3.351 1.274
0.569 -6.054 3.091
-3.114 1.818 8.118
Sc Tm Pm
4 5 2
Direct
0.273 0.985 0.469
0.267 0.340 0.126
0.727 0.015 0.531
0.733 0.660 0.874
0.754 0.850 0.172
0.776 0.150 0.828
0.246 0.150 0.828
0.000 0.500 0.500
0.224 0.850 0.172
0.322 0.612 0.743
0.678 0.388 0.257
```

Properties
- magnetic moment (μB/cell) = 0.0
- formation energy (meV per atom) = 186
- final energy (eV/f.u.) = -55.1